A plane-wave DFT calculation with PBE was carried out for crystalline Th2ZnCo3 at its relaxed geometry.

Lattice parameters (Å, degrees): 3.787 7.174 15.953 90.00 90.00 90.00
Fractional coordinates of all 24 atoms:
Co1 0.250 0.745 0.187
Co2 0.750 0.247 0.074
Co3 0.250 0.245 0.313
Co4 0.250 0.636 0.358
Co5 0.750 0.864 0.858
Co6 0.750 0.747 0.426
Co7 0.250 0.753 0.926
Co8 0.750 0.755 0.687
Co9 0.750 0.255 0.813
Co10 0.750 0.364 0.642
Co11 0.250 0.253 0.574
Co12 0.250 0.136 0.142
Th1 0.750 0.840 0.062
Th2 0.750 0.340 0.438
Th3 0.750 0.464 0.223
Th4 0.250 0.536 0.777
Th5 0.250 0.660 0.562
Th6 0.250 0.160 0.938
Th7 0.250 0.036 0.723
Th8 0.750 0.964 0.277
Zn1 0.250 0.994 0.438
Zn2 0.750 0.506 0.938
Zn3 0.750 0.006 0.562
Zn4 0.250 0.494 0.062

Calculated values
formation energy from the elements	-1.410	eV per formula unit
ΔE to the lowest computed polymorph	0.000	eV per formula unit

***

A plane-wave DFT calculation with PBE was carried out for crystalline MnZnCu at its relaxed geometry.

Lattice parameters (Å, degrees): 4.106 4.106 4.106 60.00 60.00 60.00
Fractional coordinates of all 3 atoms:
Zn1 0.000 0.000 0.000
Cu1 0.500 0.500 0.500
Mn1 0.750 0.750 0.750

Calculated values
formation energy from the elements	1.475	eV per formula unit

***

A plane-wave DFT calculation with PBE was carried out for crystalline Nd3Be2O6 at its relaxed geometry.

Lattice parameters (Å, degrees): 3.651 3.651 10.018 100.50 100.50 90.00
Fractional coordinates of all 11 atoms:
Nd1 0.825 0.825 0.649
Nd2 0.000 0.000 0.000
Nd3 0.175 0.175 0.351
Be1 0.604 0.604 0.208
Be2 0.396 0.396 0.792
O1 0.408 0.908 0.816
O2 0.302 0.302 0.604
O3 0.908 0.408 0.816
O4 0.592 0.092 0.184
O5 0.092 0.592 0.184
O6 0.698 0.698 0.396

Calculated values
uncorrected formation energy	-2839	meV/atom